Entry 1:
Computed, not measured: crystalline AgAuC2 at its relaxed geometry at the PBE level of DFT.

Structure (extended XYZ):
```
8
Lattice="-2.520 2.520 4.754 2.520 -2.520 4.754 2.520 2.520 -4.754" Properties=species:S:1:pos:R:3 pbc="T T T"
Ag 0.000 0.000 0.000
Ag 0.000 2.520 2.377
Au 2.520 0.000 2.377
Au 0.000 0.000 4.754
C 1.260 -1.158 3.565
C 1.362 1.260 1.188
C 1.260 3.678 -1.188
C 1.158 1.260 5.942
```

Output
SG ... I-42d
Fermi-level density of states ... 5.46 states/eV per cell
DFT total energy ... -16.46 eV per formula unit

=====

Entry 2:
Computed, not measured: crystalline AgAuC2 at its relaxed geometry at the PBE level of DFT.

Structure (extended XYZ):
```
4
Lattice="0.000 2.921 2.921 2.921 0.000 2.921 2.921 2.921 0.000" Properties=species:S:1:pos:R:3 pbc="T T T"
Ag 0.000 0.000 0.000
Au 2.921 2.921 2.921
C 1.461 1.461 1.461
C 4.382 4.382 4.382
```

Output
SG ... Fm-3m
Fermi-level density of states ... 2.15 states/eV per cell
DFT total energy ... -15.24 eV per formula unit

=====

Entry 3:
Computed, not measured: crystalline AgAuC3 at its relaxed geometry at the PBE level of DFT.

Structure (extended XYZ):
```
5
Lattice="4.175 0.000 0.000 0.000 4.175 0.000 0.000 0.000 4.175" Properties=species:S:1:pos:R:3 pbc="T T T"
Ag 0.000 0.000 0.000
Au 2.087 2.087 2.087
C 0.000 2.087 2.087
C 2.087 0.000 2.087
C 2.087 2.087 0.000
```

Output
SG ... Pm-3m
Fermi-level density of states ... 1.17 states/eV per cell
DFT total energy ... -18.16 eV per formula unit

=====

Entry 4:
Computed, not measured: crystalline Ag2AuC at its relaxed geometry at the PBE level of DFT.

Structure (extended XYZ):
```
8
Lattice="-4.241 4.241 2.025 4.241 -4.241 2.025 4.241 4.241 -2.025" Properties=species:S:1:pos:R:3 pbc="T T T"
Ag 0.986 2.120 0.506
Ag -2.120 3.254 1.519
Ag -0.986 6.361 0.506
Ag 2.120 5.227 1.519
Au 4.241 0.000 1.013
Au 0.000 0.000 2.025
C 0.000 0.000 0.000
C 0.000 4.241 1.013
```

Output
SG ... I-42d
Fermi-level density of states ... 2.34 states/eV per cell
DFT total energy ... -14.32 eV per formula unit

=====

Entry 5:
Computed, not measured: crystalline AgAu3C at its relaxed geometry at the PBE level of DFT.

Structure (extended XYZ):
```
5
Lattice="5.125 0.000 0.000 0.000 5.125 0.000 0.000 0.000 5.125" Properties=species:S:1:pos:R:3 pbc="T T T"
Ag 0.000 0.000 0.000
Au 0.000 0.000 2.563
Au 0.000 2.563 0.000
Au 2.563 0.000 0.000
C 2.563 2.563 2.563
```

Output
SG ... Pm-3m
Fermi-level density of states ... 3.35 states/eV per cell
DFT total energy ... -11.06 eV per formula unit

=====

Entry 6:
Computed, not measured: crystalline AgAu3C at its relaxed geometry at the PBE level of DFT.

Structure (extended XYZ):
```
5
Lattice="4.368 0.000 0.000 0.000 4.368 0.000 0.000 0.000 4.368" Properties=species:S:1:pos:R:3 pbc="T T T"
Ag 0.000 0.000 0.000
Au 0.000 2.184 2.184
Au 2.184 0.000 2.184
Au 2.184 2.184 0.000
C 2.184 2.184 2.184
```

Output
SG ... Pm-3m
Fermi-level density of states ... 0.38 states/eV per cell
DFT total energy ... -18.82 eV per formula unit